Cs3SF | PBE | relaxed

Cell lengths 5.722, 5.722, 5.722 Å; angles 90.00, 90.00, 90.00 degrees
Fractional positions:
F 0.000 0.000 0.000
Cs 0.000 0.500 0.000
Cs 0.500 0.000 0.000
Cs 0.000 0.000 0.500
S 0.500 0.500 0.500

Output
The value obtained for the energy is -3.279 eV per atom. For the density of states at the Fermi level, the calculation gives 0.0 states/eV/cell. Its calculated density is 4.0 g cm⁻³. The calculation puts the energy above the most stable polymorph in this dataset at 0.0416 eV per atom. For the total moment, the calculation gives 0.00 μB/f.u.

CsSF6 | PBE | relaxed

Cell lengths 5.725, 5.725, 6.127 Å; angles 62.15, 62.15, 60.00 degrees
Site moments in Bohr magnetons follow the coordinates.
Fractional positions:
F 0.648 0.079 0.195  0.11
F 0.352 0.921 0.805  0.11
F 0.079 0.079 0.195  0.11
F 0.079 0.648 0.195  0.11
F 0.921 0.921 0.805  0.11
F 0.921 0.352 0.805  0.11
Cs 0.500 0.500 0.500  0.00
S 0.000 0.000 0.000  0.24

Output
The value obtained for the energy is -3.925 eV per atom. For the density of states at the Fermi level, the calculation gives 2.8 states/eV/cell. Its calculated density is 3.2 g cm⁻³. The calculation puts the energy above the most stable polymorph in this dataset at 0.0000 eV per atom. For the total moment, the calculation gives 0.99 μB/f.u.

Cs2S6F | PBE | relaxed

Cell lengths 4.499, 8.269, 8.252 Å; angles 101.46, 81.37, 81.31 degrees
Site moments in Bohr magnetons follow the coordinates.
Fractional positions:
Cs 0.500 0.853 0.148  0.00
Cs 0.500 0.147 0.852  0.00
S 0.090 0.251 0.507  0.15
S 0.360 0.344 0.343  -0.01
S 0.911 0.490 0.749  0.15
S 0.910 0.749 0.493  0.15
S 0.089 0.510 0.251  0.15
S 0.640 0.656 0.657  -0.01
F 0.000 0.000 0.000  0.00

Output
The value obtained for the energy is -3.844 eV per atom. For the density of states at the Fermi level, the calculation gives 1.4 states/eV/cell. Its calculated density is 2.7 g cm⁻³. For the total moment, the calculation gives 1.00 μB/f.u.

Cs2SbSF6 | PBE | relaxed

Cell lengths 6.842, 6.842, 7.110 Å; angles 61.24, 61.24, 90.00 degrees
Site moments in Bohr magnetons follow the coordinates.
Fractional positions:
F 0.795 0.205 0.000  -0.01
F 0.809 0.809 0.382  -0.03
F 0.795 0.795 0.000  -0.01
F 0.205 0.205 0.000  -0.01
F 0.205 0.795 0.000  -0.01
F 0.191 0.191 0.618  -0.03
S 0.500 0.500 0.000  0.71
Cs 0.750 0.250 0.500  0.00
Cs 0.250 0.750 0.500  0.00
Sb 0.000 0.000 0.000  -0.09

Output
The value obtained for the energy is -4.176 eV per atom. For the density of states at the Fermi level, the calculation gives 2.3 states/eV/cell. Its calculated density is 3.6 g cm⁻³. For the total moment, the calculation gives 1.00 μB/f.u.

Cs2SnSF6 | PBE | relaxed

Cell lengths 6.736, 6.736, 7.072 Å; angles 61.56, 61.56, 90.00 degrees
Site moments in Bohr magnetons follow the coordinates.
Fractional positions:
F 0.192 0.192 0.617  0.01
F 0.211 0.211 0.000  0.03
F 0.211 0.789 0.000  0.03
F 0.808 0.808 0.383  0.01
F 0.789 0.211 0.000  0.03
F 0.789 0.789 0.000  0.03
Sn 0.000 0.000 0.000  0.02
S 0.500 0.500 0.000  1.10
Cs 0.750 0.250 0.500  0.00
Cs 0.250 0.750 0.500  0.00

Output
The value obtained for the energy is -4.275 eV per atom. For the density of states at the Fermi level, the calculation gives 0.0 states/eV/cell. Its calculated density is 3.7 g cm⁻³. For the total moment, the calculation gives 2.00 μB/f.u.

Cs2SrSF6 | PBE | relaxed

Cell lengths 6.131, 6.131, 7.434 Å; angles 65.65, 65.65, 90.00 degrees
Fractional positions:
F 0.278 0.722 0.000
F 0.278 0.278 0.000
F 0.805 0.805 0.391
F 0.722 0.278 0.000
F 0.195 0.195 0.609
F 0.722 0.722 0.000
Cs 0.250 0.750 0.500
Cs 0.750 0.250 0.500
Sr 0.000 0.000 0.000
S 0.500 0.500 0.000

Output
The value obtained for the energy is -4.413 eV per atom. For the density of states at the Fermi level, the calculation gives 0.0 states/eV/cell. Its calculated density is 3.7 g cm⁻³. For the total moment, the calculation gives 0.00 μB/f.u.

Cs2TaS2F4 | PBE | relaxed

Cell lengths 6.079, 6.825, 6.825 Å; angles 59.04, 90.97, 90.97 degrees
Fractional positions:
S 0.132 0.073 0.073
S 0.868 0.927 0.927
Cs 0.227 0.674 0.674
Cs 0.773 0.326 0.326
F 0.411 0.681 0.101
F 0.411 0.101 0.681
F 0.589 0.899 0.319
F 0.589 0.319 0.899
Ta 0.500 0.000 0.000

Output
The value obtained for the energy is -5.572 eV per atom. For the density of states at the Fermi level, the calculation gives 1.8 states/eV/cell. Its calculated density is 4.0 g cm⁻³. For the total moment, the calculation gives 0.00 μB/f.u.

Cs2TcSF5 | PBE | relaxed

Cell lengths 6.591, 6.591, 6.591 Å; angles 96.36, 116.40, 116.40 degrees
Site moments in Bohr magnetons follow the coordinates.
Fractional positions:
Tc 0.000 0.990 0.990  1.63
F 0.401 0.209 0.209  0.05
F 0.000 0.808 0.209  0.05
F 0.000 0.209 0.808  0.05
F 0.000 0.220 0.220  0.03
F 0.599 0.808 0.808  0.05
Cs 0.500 0.256 0.756  0.00
Cs 0.500 0.756 0.256  0.00
S 0.000 0.742 0.742  -0.01

Output
The value obtained for the energy is -4.999 eV per atom. For the density of states at the Fermi level, the calculation gives 5.8 states/eV/cell. Its calculated density is 3.8 g cm⁻³. For the total moment, the calculation gives 2.00 μB/f.u.

Cs2TiSF6 | PBE | relaxed

Cell lengths 6.584, 6.584, 6.953 Å; angles 61.74, 61.74, 90.00 degrees
Site moments in Bohr magnetons follow the coordinates.
Fractional positions:
Cs 0.750 0.250 0.500  0.00
Cs 0.250 0.750 0.500  0.00
F 0.203 0.203 0.000  0.03
F 0.797 0.203 0.000  0.03
F 0.183 0.183 0.634  0.00
F 0.817 0.817 0.366  0.00
F 0.797 0.797 0.000  0.03
F 0.203 0.797 0.000  0.03
S 0.500 0.500 0.000  1.10
Ti 0.000 0.000 0.000  0.03

Output
The value obtained for the energy is -5.128 eV per atom. For the density of states at the Fermi level, the calculation gives 0.0 states/eV/cell. Its calculated density is 3.4 g cm⁻³. For the total moment, the calculation gives 2.00 μB/f.u.

Cs2TlSF6 | PBE | relaxed

Cell lengths 6.460, 6.460, 7.002 Å; angles 62.53, 62.53, 90.00 degrees
Site moments in Bohr magnetons follow the coordinates.
Fractional positions:
F 0.242 0.242 0.517  0.09
F 0.297 0.703 0.000  0.03
F 0.758 0.758 0.483  0.09
F 0.703 0.297 0.000  0.03
F 0.703 0.703 0.000  0.03
F 0.297 0.297 0.000  0.03
Cs 0.250 0.750 0.500  0.00
Cs 0.750 0.250 0.500  0.00
Tl 0.000 0.000 0.000  0.02
S 0.500 0.500 0.000  0.45

Output
The value obtained for the energy is -3.898 eV per atom. For the density of states at the Fermi level, the calculation gives 0.0 states/eV/cell. Its calculated density is 4.6 g cm⁻³. For the total moment, the calculation gives 1.00 μB/f.u.

CsUS2F | PBE | relaxed

Cell lengths 4.063, 8.391, 9.353 Å; angles 106.97, 90.00, 90.00 degrees
Site moments in Bohr magnetons follow the coordinates.
Fractional positions:
S 0.250 0.158 0.348  -0.06
S 0.750 0.833 0.033  -0.07
S 0.250 0.167 0.967  -0.07
S 0.750 0.842 0.652  -0.06
F 0.250 0.562 0.769  -0.02
F 0.750 0.438 0.231  -0.02
U 0.750 0.171 0.165  2.03
U 0.250 0.829 0.835  2.03
Cs 0.250 0.711 0.314  0.00
Cs 0.750 0.289 0.686  0.00

Output
The value obtained for the energy is -6.480 eV per atom. For the density of states at the Fermi level, the calculation gives 11.7 states/eV/cell. Its calculated density is 4.9 g cm⁻³. For the total moment, the calculation gives 2.00 μB/f.u.

CsYSF2 | PBE | relaxed

Cell lengths 4.678, 4.678, 5.324 Å; angles 90.00, 90.00, 90.00 degrees
Fractional positions:
F 0.000 0.500 0.000
F 0.500 0.000 0.000
Y 0.000 0.000 0.000
Cs 0.500 0.500 0.500
S 0.000 0.000 0.500

Output
The value obtained for the energy is -5.886 eV per atom. For the density of states at the Fermi level, the calculation gives 0.0 states/eV/cell. Its calculated density is 4.2 g cm⁻³. For the total moment, the calculation gives 0.00 μB/f.u.

Cs2ZnSF6 | PBE | relaxed

Cell lengths 5.901, 5.901, 6.844 Å; angles 64.46, 64.46, 90.00 degrees
Fractional positions:
Zn 0.000 0.000 0.000
S 0.500 0.500 0.000
F 0.732 0.268 0.000
F 0.268 0.732 0.000
F 0.732 0.732 0.000
F 0.174 0.174 0.653
F 0.826 0.826 0.347
F 0.268 0.268 0.000
Cs 0.250 0.750 0.500
Cs 0.750 0.250 0.500

Output
The value obtained for the energy is -3.945 eV per atom. For the density of states at the Fermi level, the calculation gives 0.0 states/eV/cell. Its calculated density is 4.2 g cm⁻³. For the total moment, the calculation gives 0.00 μB/f.u.

Cs7Sb2F2 | PBE | relaxed

Cell lengths 8.295, 7.993, 8.295 Å; angles 89.66, 111.20, 90.34 degrees
Fractional positions:
Cs 0.499 0.756 0.998
Cs 0.998 0.244 0.499
Cs 0.501 0.244 0.002
Cs 0.503 0.765 0.497
Cs 0.002 0.756 0.501
Cs 0.497 0.235 0.503
Cs 0.000 0.000 0.000
F 0.304 0.001 0.696
F 0.696 0.999 0.304
Sb 0.162 0.500 0.162
Sb 0.838 0.500 0.838

Output
The value obtained for the energy is -2.692 eV per atom. For the density of states at the Fermi level, the calculation gives 2.9 states/eV/cell. Its calculated density is 3.9 g cm⁻³. For the total moment, the calculation gives 0.00 μB/f.u.

Cs3Sb2F8 | PBE | relaxed

Cell lengths 7.205, 7.205, 8.599 Å; angles 65.23, 65.23, 60.00 degrees
Site moments in Bohr magnetons follow the coordinates.
Fractional positions:
F 0.735 0.224 0.306  0.01
F 0.265 0.265 0.694  0.01
F 0.776 0.265 0.694  0.01
F 0.224 0.735 0.306  0.01
F 0.265 0.776 0.694  0.01
F 0.735 0.735 0.306  0.01
F 0.331 0.331 0.007  0.09
F 0.669 0.669 0.993  0.09
Cs 0.000 0.000 0.000  0.00
Cs 0.204 0.204 0.387  0.00
Cs 0.796 0.796 0.613  0.00
Sb 0.427 0.427 0.718  0.17
Sb 0.573 0.573 0.282  0.17

Output
The value obtained for the energy is -4.338 eV per atom. For the density of states at the Fermi level, the calculation gives 1.1 states/eV/cell. Its calculated density is 3.9 g cm⁻³. For the total moment, the calculation gives 1.03 μB/f.u.

Cs12Sb3F5 | PBE | relaxed

Cell lengths 17.022, 17.022, 17.022 Å; angles 109.47, 109.47, 109.47 degrees
Site moments in Bohr magnetons follow the coordinates.
Fractional positions:
Cs 0.519 0.319 0.903  0.01
Cs 0.403 0.384 0.584  0.01
Cs 0.584 0.700 0.681  0.01
Cs 0.903 0.819 0.519  0.01
Cs 0.616 0.019 0.200  0.01
Cs 0.416 0.116 0.597  0.01
Cs 0.384 0.403 0.084  0.01
Cs 0.903 0.084 0.884  0.01
Cs 0.416 0.300 0.319  0.01
Cs 0.597 0.981 0.681  0.01
Cs 0.384 0.981 0.800  0.01
Cs 0.481 0.681 0.097  0.01
Cs 0.916 0.097 0.616  0.01
Cs 0.681 0.200 0.584  0.01
Cs 0.800 0.319 0.916  0.01
Cs 0.700 0.116 0.019  0.01
Cs 0.519 0.200 0.116  0.01
Cs 0.019 0.616 0.700  0.01
Cs 0.681 0.481 0.597  0.01
Cs 0.884 0.300 0.481  0.01
Cs 0.181 0.084 0.700  0.01
Cs 0.403 0.019 0.319  0.01
Cs 0.300 0.416 0.819  0.01
Cs 0.319 0.519 0.403  0.01
Cs 0.819 0.916 0.300  0.01
Cs 0.097 0.916 0.116  0.01
Cs 0.097 0.181 0.481  0.01
Cs 0.916 0.819 0.800  0.01
Cs 0.116 0.416 0.097  0.01
Cs 0.884 0.584 0.903  0.01
Cs 0.319 0.800 0.416  0.01
Cs 0.200 0.519 0.616  0.01
Cs 0.481 0.800 0.884  0.01
Cs 0.700 0.584 0.181  0.01
Cs 0.200 0.681 0.084  0.01
Cs 0.800 0.481 0.384  0.01
Cs 0.084 0.903 0.384  0.01
Cs 0.616 0.597 0.916  0.01
Cs 0.981 0.597 0.181  0.01
Cs 0.981 0.384 0.300  0.01
Cs 0.084 0.181 0.200  0.01
Cs 0.584 0.884 0.403  0.01
Cs 0.116 0.700 0.519  0.01
Cs 0.300 0.884 0.981  0.01
Cs 0.597 0.616 0.416  0.01
Cs 0.181 0.097 0.981  0.01
Cs 0.019 0.403 0.819  0.01
Cs 0.819 0.903 0.019  0.01
F 0.250 0.375 0.625  0.00
F 0.500 0.500 0.000  0.00
F 0.875 0.625 0.750  0.00
F 0.375 0.250 0.125  0.00
F 0.625 0.875 0.250  0.00
F 0.250 0.875 0.125  0.00
F 0.000 0.500 0.000  0.00
F 0.500 0.000 0.000  0.00
F 0.000 0.000 0.000  0.00
F 0.375 0.125 0.750  0.00
F 0.750 0.125 0.875  0.00
F 0.750 0.625 0.375  0.00
F 0.500 0.500 0.500  0.00
F 0.000 0.500 0.500  0.00
F 0.500 0.000 0.500  0.00
F 0.000 0.000 0.500  0.00
F 0.125 0.375 0.250  0.00
F 0.875 0.250 0.625  0.00
F 0.125 0.750 0.375  0.00
F 0.625 0.750 0.875  0.00
Sb 0.375 0.625 0.250  0.22
Sb 0.250 0.625 0.875  0.22
Sb 0.625 0.250 0.375  0.22
Sb 0.625 0.375 0.750  0.22
Sb 0.250 0.125 0.375  0.22
Sb 0.750 0.875 0.625  0.22
Sb 0.875 0.750 0.125  0.22
Sb 0.375 0.750 0.625  0.22
Sb 0.125 0.875 0.750  0.22
Sb 0.875 0.125 0.250  0.22
Sb 0.125 0.250 0.875  0.22
Sb 0.750 0.375 0.125  0.22

Output
The value obtained for the energy is -3.043 eV per atom. For the density of states at the Fermi level, the calculation gives 69.0 states/eV/cell. Its calculated density is 3.6 g cm⁻³. For the total moment, the calculation gives 2.20 μB/f.u.

CsSb3F | PBE | relaxed

Cell lengths 5.245, 5.245, 5.245 Å; angles 90.00, 90.00, 90.00 degrees
Fractional positions:
Cs 0.500 0.500 0.500
Sb 0.000 0.000 0.500
Sb 0.000 0.500 0.000
Sb 0.500 0.000 0.000
F 0.000 0.000 0.000

Output
The value obtained for the energy is -3.214 eV per atom. For the density of states at the Fermi level, the calculation gives 3.3 states/eV/cell. Its calculated density is 6.0 g cm⁻³. The calculation puts the energy above the most stable polymorph in this dataset at 0.0000 eV per atom. For the total moment, the calculation gives 0.00 μB/f.u.

Cs2SbF5 | PBE | relaxed

Cell lengths 6.876, 6.876, 6.481 Å; angles 122.04, 122.04, 90.00 degrees
Fractional positions:
F 0.773 0.202 0.976
F 0.202 0.773 0.976
F 0.794 0.794 0.588
F 0.202 0.202 0.976
F 0.773 0.773 0.976
Cs 0.754 0.254 0.507
Cs 0.254 0.754 0.507
Sb 0.024 0.024 0.048

Output
The value obtained for the energy is -4.530 eV per atom. For the density of states at the Fermi level, the calculation gives 0.0 states/eV/cell. Its calculated density is 4.0 g cm⁻³. The calculation puts the energy above the most stable polymorph in this dataset at 0.0343 eV per atom. For the total moment, the calculation gives 0.00 μB/f.u.